(1)
VASP calculation (PBE) on a geometry-optimized Cs3Ho2Te6Pb structure.

The total DFT energy (no corrections) is -3.95 eV/atom. The mass density is 5.75 g cm⁻³. For the raw formation energy, the calculation gives -1.089 eV per atom. The calculation puts the total magnetic moment at 0.00 μB per formula unit. Its density of states at the Fermi level is 0.822 states/eV/atom.

```
data_Cs3Ho2Te6Pb
_chemical_formula_sum 'Cs3 Ho2 Te6 Pb1'
_space_group_name_H-M_alt 'P 1'
_space_group_IT_number 1
_space_group_name_Hall 'P 1'
_cell_length_a 7.9500
_cell_length_b 7.9500
_cell_length_c 9.3582
_cell_angle_alpha 98.12
_cell_angle_beta 98.12
_cell_angle_gamma 120.08
loop_
_atom_site_label
_atom_site_type_symbol
_atom_site_fract_x
_atom_site_fract_y
_atom_site_fract_z
Pb1 Pb 0.0000 0.0000 0.0000
Cs1 Cs 0.1612 0.8388 0.5000
Cs2 Cs 0.5000 0.5000 0.5000
Cs3 Cs 0.8388 0.1612 0.5000
Te1 Te 0.0646 0.4144 0.1924
Te2 Te 0.7133 0.7133 0.1898
Te3 Te 0.5856 0.9354 0.8076
Te4 Te 0.4144 0.0646 0.1924
Te5 Te 0.9354 0.5856 0.8076
Te6 Te 0.2867 0.2867 0.8102
Ho1 Ho 0.6674 0.3326 0.0000
Ho2 Ho 0.3326 0.6674 0.0000
```



(2)
VASP calculation (PBE) on a geometry-optimized Ho3Er12Mg structure.

The total DFT energy (no corrections) is -4.36 eV/atom. The formation energy comes out at 0.023 eV/atom. The mass density is 8.68 g cm⁻³. The calculation puts the total magnetic moment at 0.00 μB per formula unit. Its density of states at the Fermi level is 1.267 states/eV/atom.

```
data_Ho3Er12Mg
_chemical_formula_sum 'Ho3 Er12 Mg1'
_space_group_name_H-M_alt 'P 1'
_space_group_IT_number 1
_space_group_name_Hall 'P 1'
_cell_length_a 4.9391
_cell_length_b 4.9393
_cell_length_c 19.8099
_cell_angle_alpha 90.00
_cell_angle_beta 90.00
_cell_angle_gamma 90.00
loop_
_atom_site_label
_atom_site_type_symbol
_atom_site_fract_x
_atom_site_fract_y
_atom_site_fract_z
Er1 Er 0.0000 0.5000 0.8768
Er2 Er 0.5000 0.0000 0.8768
Er3 Er 0.5000 0.5000 0.0000
Er4 Er 0.0000 0.5000 0.6263
Er5 Er 0.5000 0.5000 0.7544
Er6 Er 0.5000 0.0000 0.6263
Er7 Er 0.5000 0.5000 0.2456
Er8 Er 0.0000 0.5000 0.1232
Er9 Er 0.5000 0.0000 0.3737
Er10 Er 0.0000 0.5000 0.3737
Er11 Er 0.5000 0.5000 0.5000
Er12 Er 0.5000 0.0000 0.1232
Ho1 Ho 0.0000 0.0000 0.2483
Ho2 Ho 0.0000 0.0000 0.7517
Ho3 Ho 0.0000 0.0000 0.5000
Mg1 Mg 0.0000 0.0000 0.0000
```



(3)
VASP calculation (PBE) on a geometry-optimized Tb2PmTlC structure.

The total DFT energy (no corrections) is -5.51 eV/atom. The formation energy comes out at -0.390 eV/atom. The mass density is 9.02 g cm⁻³. The calculation puts the total magnetic moment at 0.00 μB per formula unit. Its density of states at the Fermi level is 0.403 states/eV/atom.

```
data_Tb2PmTlC
_chemical_formula_sum 'Tb2 Pm1 Tl1 C1'
_space_group_name_H-M_alt 'P 1'
_space_group_IT_number 1
_space_group_name_Hall 'P 1'
_cell_length_a 5.0827
_cell_length_b 4.9603
_cell_length_c 4.9603
_cell_angle_alpha 90.00
_cell_angle_beta 90.00
_cell_angle_gamma 90.00
loop_
_atom_site_label
_atom_site_type_symbol
_atom_site_fract_x
_atom_site_fract_y
_atom_site_fract_z
Pm1 Pm 0.5000 0.0000 0.0000
C1 C 0.0000 0.0000 0.0000
Tb1 Tb 0.0000 0.0000 0.5000
Tb2 Tb 0.0000 0.5000 0.0000
Tl1 Tl 0.5000 0.5000 0.5000
```